# 1
MgIrPt2, optimized geometry, DFT PBEsol; E_form = -185 meV/atom; crystal system = trigonal; energy = -26.207 eV per cell; V = 59.7 Å³ per cell
1.0
2.791 0.000 0.000
1.396 2.417 0.000
1.396 0.806 8.847
Mg Pt Ir
1 2 1
direct
0.000 0.000 0.000
0.749 0.749 0.752
0.251 0.251 0.248
0.500 0.500 0.500



# 2
GeAsN2, optimized geometry, DFT PBEsol; crystal system = tetragonal; energy relative to the elements, uncorrected = 2.0 eV/f.u.; energy = -50.173 eV per cell; V = 104.7 Å³ per cell
1.0
5.078 0.000 0.000
-2.539 4.790 0.021
0.000 2.672 4.318
Ge As N
2 2 4
direct
0.500 0.000 0.500
0.250 0.500 0.250
0.750 0.500 0.750
0.000 0.000 0.000
0.375 0.250 0.197
0.875 0.250 0.553
0.553 0.750 0.375
0.197 0.750 0.875



# 3
Nd3Al11, optimized geometry, DFT PBEsol; E_form = -372 meV/atom; crystal system = orthorhombic; energy = -65.711 eV per cell; V = 278.2 Å³ per cell
1.0
4.343 0.000 0.000
2.172 8.131 -0.008
2.172 2.026 7.875
Al Nd
11 3
direct
0.335 0.035 0.296
0.665 0.704 0.965
0.137 0.588 0.138
0.863 0.862 0.412
0.500 0.287 0.713
0.000 0.500 0.500
0.863 0.412 0.862
0.335 0.296 0.035
0.500 0.713 0.287
0.137 0.138 0.588
0.665 0.965 0.704
0.683 0.317 0.317
0.317 0.683 0.683
0.000 0.000 0.000



# 4
TaMnCo2, optimized geometry, DFT PBEsol; E_form = -99 meV/atom; crystal system = cubic; energy = -38.181 eV per cell; V = 50.6 Å³ per cell
1.0
4.152 0.000 0.000
2.076 3.596 0.000
2.076 1.199 3.390
Co Mn Ta
2 1 1
direct
0.750 0.750 0.750
0.250 0.250 0.250
0.000 0.000 0.000
0.500 0.500 0.500